# 1
## TcBr2N (SCAN)

Data for a crystal of TcBr2N relaxed with PBEsol.

Calculated values
total DFT energy (no corrections)	-19.26	eV/atom
relative energy among the computed polymorphs	0.000	eV/atom
space-group type	No. 166
magnetic moment	0.00	μB per formula unit
formation energy without anion corrections	1.56	eV/atom

Unit cell a=7.6442 b=7.6442 c=7.6442 alpha=25.15 beta=25.15 gamma=25.15
Last column: nearest neighbours and their distance in Å.
Element x y z (fractional)
Tc 0.0000 0.0000 0.0000  6 Br 2.57
Br 0.4103 0.4103 0.4103  1 N 1.99
Br 0.5897 0.5897 0.5897  1 N 1.99
N 0.5000 0.5000 0.5000  2 Br 1.99

***

# 2
## Li2NiMo (SCAN)

Data for a crystal of Li2NiMo relaxed with PBEsol.

Calculated values
total DFT energy (no corrections)	-13.70	eV/atom
relative energy among the computed polymorphs	0.000	eV/atom
space-group type	No. 47
energy of formation from the pure elements	0.26	eV/atom
magnetic moment	0.00	μB per formula unit

Unit cell a=2.5691 b=4.3483 c=4.6689 alpha=90.00 beta=90.00 gamma=90.00
Last column: nearest neighbours and their distance in Å.
Element x y z (fractional)
Li 0.0000 0.0000 0.0000  6 Li 2.53-2.57, 4 Mo 2.66
Li 0.5000 0.5000 0.0000  6 Li 2.53-2.57, 4 Ni 2.66
Ni 0.0000 0.5000 0.5000  4 Mo 2.53, 2 Ni 2.57, 4 Li 2.66
Mo 0.5000 0.0000 0.5000  4 Ni 2.53, 2 Mo 2.57, 4 Li 2.66

***

# 3
## KAg2HgPb (SCAN)

Data for a crystal of KAg2HgPb relaxed with PBEsol.

Calculated values
total DFT energy (no corrections)	-42.73	eV/atom
space-group type	No. 123
energy of formation from the pure elements	0.27	eV/atom
magnetic moment	0.00	μB per formula unit

Unit cell a=5.2760 b=5.2760 c=6.5089 alpha=90.00 beta=90.00 gamma=90.00
Last column: nearest neighbours and their distance in Å.
Element x y z (fractional)
K 0.0000 0.0000 0.0000  2 Pb 3.25
Ag 0.0000 0.5000 0.5000  2 Pb 2.64
Ag 0.5000 0.0000 0.5000  2 Pb 2.64
Hg 0.5000 0.5000 0.0000  4 K 3.73
Pb 0.0000 0.0000 0.5000  4 Ag 2.64